No. 1
Material: Gd2PuIr
Method: DFT, PBE
State: relaxed

Computed properties:
DFT formation energy, meV/atom: -48
DFT total energy, Ry per atom: -0.947

Unit cell a=5.122 b=5.122 c=5.124 alpha=60.01 beta=60.01 gamma=60.00
Site moments in Bohr magnetons follow the coordinates.
Positions (direct):
Gd (0.250, 0.250, 0.250)  7.31
Gd (0.750, 0.750, 0.750)  7.31
Ir (0.000, 0.000, 0.000)  -0.21
Pu (0.500, 0.500, 0.500)  5.74

***

No. 2
Material: GdPuIr
Method: DFT, PBE
State: relaxed

Computed properties:
DFT formation energy, meV/atom: -276
DFT total energy, Ry per atom: -0.933

Unit cell a=3.888 b=4.574 c=4.574 alpha=120.00 beta=90.00 gamma=90.00
Site moments in Bohr magnetons follow the coordinates.
Positions (direct):
Gd (0.298, 0.333, 0.667)  6.78
Ir (0.977, 0.000, 0.000)  0.14
Pu (0.725, 0.667, 0.333)  -5.29

***

No. 3
Material: GdPuIr
Method: DFT, PBE
State: relaxed

Computed properties:
DFT formation energy, meV/atom: -419
DFT total energy, Ry per atom: -0.944

Unit cell a=4.815 b=4.815 c=4.815 alpha=60.00 beta=60.00 gamma=60.00
Site moments in Bohr magnetons follow the coordinates.
Positions (direct):
Gd (0.000, 0.000, 0.000)  6.81
Ir (0.250, 0.250, 0.250)  0.09
Pu (0.500, 0.500, 0.500)  -5.33

***

No. 4
Material: GdPuIr
Method: DFT, PBE
State: relaxed

Computed properties:
DFT formation energy, meV/atom: -365
DFT total energy, Ry per atom: -0.940

Unit cell a=3.569 b=3.569 c=6.173 alpha=106.80 beta=106.80 gamma=90.00
Site moments in Bohr magnetons follow the coordinates.
Positions (direct):
Gd (0.639, 0.639, 0.277)  7.25
Pu (0.919, 0.919, 0.839)  5.24
Ir (0.292, 0.292, 0.584)  -0.26

***

No. 5
Material: GdPuIrRh
Method: DFT, PBE
State: relaxed

Computed properties:
DFT formation energy, meV/atom: -588
DFT total energy, Ry per atom: -0.863

Unit cell a=4.871 b=4.871 c=4.871 alpha=60.00 beta=60.00 gamma=60.00
Site moments in Bohr magnetons follow the coordinates.
Positions (direct):
Gd (0.750, 0.750, 0.750)  7.06
Ir (0.000, 0.000, 0.000)  -0.30
Rh (0.500, 0.500, 0.500)  -0.33
Pu (0.250, 0.250, 0.250)  4.97

***

No. 6
Material: GdPuIrRu
Method: DFT, PBE
State: relaxed

Computed properties:
DFT formation energy, meV/atom: -382
DFT total energy, Ry per atom: -0.883

Unit cell a=4.840 b=4.840 c=4.840 alpha=60.00 beta=60.00 gamma=60.00
Site moments in Bohr magnetons follow the coordinates.
Positions (direct):
Gd (0.000, 0.000, 0.000)  7.06
Ru (0.750, 0.750, 0.750)  -0.67
Ir (0.250, 0.250, 0.250)  -0.31
Pu (0.500, 0.500, 0.500)  4.88

***

No. 7
Material: GdPuTlIr
Method: DFT, PBE
State: relaxed

Computed properties:
DFT formation energy, meV/atom: -239
DFT total energy, Ry per atom: -0.746

Unit cell a=5.130 b=5.130 c=5.130 alpha=60.00 beta=60.00 gamma=60.00
Site moments in Bohr magnetons follow the coordinates.
Positions (direct):
Gd (0.750, 0.750, 0.750)  7.04
Tl (0.000, 0.000, 0.000)  0.01
Ir (0.500, 0.500, 0.500)  -0.24
Pu (0.250, 0.250, 0.250)  5.26

***

No. 8
Material: GdPuZnIr
Method: DFT, PBE
State: relaxed

Computed properties:
DFT formation energy, meV/atom: -402
DFT total energy, Ry per atom: -0.738

Unit cell a=4.952 b=4.952 c=4.952 alpha=60.00 beta=60.00 gamma=60.00
Site moments in Bohr magnetons follow the coordinates.
Positions (direct):
Gd (0.250, 0.250, 0.250)  -6.93
Zn (0.000, 0.000, 0.000)  0.01
Ir (0.500, 0.500, 0.500)  -0.20
Pu (0.750, 0.750, 0.750)  5.14

***

Results for M_tot: 20.90, 1.38, 1.25, 12.86, 11.72, 11.25, 12.48, 1.85 (in μB/cell, following the order of the records).